(1)
First-principles (GGA-PBE) data for Pu3Al2Ga7 after structural relaxation, as listed in Alexandria via LeMat-Bulk.

Computed properties:
N(E_F): 1.60 states/eV/atom
ΔE_f: -145.4 meV/atom
energy above the lowest structure with this stoichiometry: 0.003 eV/atom

a b c (Å): 6.8688 3.8172 9.1692
angles (deg): 90.00 94.87 90.00
Space group Pm (No. 6)
Unique sites:
Pu: 0.0000 0.0000 0.0000
Pu: 0.0520 0.5000 0.4020
Pu: 0.8244 0.0000 0.4483
Al: 0.5084 0.0000 0.0345
Al: 0.9233 0.5000 0.7063
Ga: 0.1885 0.0000 0.6530
Ga: 0.2908 0.5000 0.8506
Ga: 0.3045 0.5000 0.1561
Ga: 0.3935 0.0000 0.3591
Ga: 0.5017 0.5000 0.5778
Ga: 0.6657 0.5000 0.8822
Ga: 0.7214 0.5000 0.1855



(2)
First-principles (GGA-PBE) data for K3Hg7Pt2 after structural relaxation, as listed in Alexandria via LeMat-Bulk.

Computed properties:
N(E_F): 0.26 states/eV/atom
ΔE_f: -257.2 meV/atom
energy above the lowest structure with this stoichiometry: 0.000 eV/atom

a b c (Å): 5.3627 25.8201 5.3712
angles (deg): 90.00 90.00 90.00
Space group Cmmm (No. 65)
Unique sites:
K: 0.0000 0.0000 0.0000
K: 0.0000 0.1880 0.0000
Hg: 0.0000 0.1011 0.5000
Hg: 0.0000 0.2870 0.5000
Hg: 0.0000 0.3992 0.0000
Hg: 0.0000 0.5000 0.5000
Pt: 0.0000 0.3953 0.5000



(3)
First-principles (GGA-PBE) data for PuAlVRu after structural relaxation, as listed in Alexandria via LeMat-Bulk.

Computed properties:
N(E_F): 0.82 states/eV/atom
ΔE_f: -199.4 meV/atom

a b c (Å): 6.4187 6.4187 6.4187
angles (deg): 90.00 90.00 90.00
Space group F-43m (No. 216)
Unique sites:
Pu: 0.0000 0.0000 0.0000
Al: 0.0000 0.0000 0.5000
V: 0.2500 0.2500 0.2500
Ru: 0.2500 0.2500 0.7500



(4)
First-principles (GGA-PBE) data for Na2Ga6Pt9 after structural relaxation, as listed in Alexandria via LeMat-Bulk.

Computed properties:
N(E_F): 0.42 states/eV/atom
ΔE_f: -511.7 meV/atom

a b c (Å): 5.6350 5.6350 11.8478
angles (deg): 90.00 90.00 120.00
Space group P6/mmm (No. 191)
Unique sites:
Na: 0.0000 0.0000 0.1968
Ga: 0.3333 0.6667 0.1663
Ga: 0.3333 0.6667 0.5000
Pt: 0.0000 0.5000 0.0000
Pt: 0.0000 0.5000 0.3326



(5)
First-principles (GGA-PBE) data for Y2Au after structural relaxation, as listed in Alexandria via LeMat-Bulk.

Computed properties:
N(E_F): 0.76 states/eV/atom
ΔE_f: -591.7 meV/atom

a b c (Å): 7.5715 7.5715 4.8894
angles (deg): 90.00 90.00 120.00
Space group P-62m (No. 189)
Unique sites:
Y: 0.0000 0.2612 0.0000
Y: 0.0000 0.5947 0.5000
Au: 0.0000 0.0000 0.5000
Au: 0.3333 0.6667 0.0000